First-principles (PBE-GGA) data for crystalline CaTm2Pb3 at its relaxed geometry, as listed in the Alexandria database.

Cell: 3.547 3.547 13.472 Å, 90.00 90.00 90.00°
Fractional coordinates of all 6 atoms:
1 Ca 0.000 0.000 0.000
2 Tm 0.000 0.000 0.335
3 Tm 0.000 0.000 0.665
4 Pb 0.500 0.500 0.173
5 Pb 0.500 0.500 0.500
6 Pb 0.500 0.500 0.827

total energy: -4.1044 eV per atom
formation energy: -0.426 eV/atom